50
Lattice="5.132 0.000 0.000 0.000 10.431 -0.035 0.000 -5.018 9.290" Properties=species:S:1:pos:R:3 comment="Zn2FeP2H8O12, optimized geometry, DFT PBE+U" n_ef_per_ev_cell=0.000 final_energy_ev_per_atom=-5.735 pbc="T T T"
Zn 4.127 6.005 1.331
Zn 1.561 7.133 3.261
Zn 1.006 -0.592 7.924
Zn 3.572 -1.720 5.994
Fe 2.566 2.707 4.628
Fe 0.000 0.000 0.000
P 4.021 -1.553 2.885
P 1.455 4.260 1.743
P 1.111 6.967 6.371
P 3.677 1.153 7.512
H 4.071 1.099 2.818
H 1.504 1.607 1.809
H 1.062 4.314 6.437
H 3.628 3.806 7.446
H 4.923 2.430 3.137
H 2.356 0.276 1.491
H 0.210 2.983 6.118
H 2.776 5.137 7.765
H 4.576 2.667 0.295
H 2.010 0.040 4.333
H 0.557 2.746 8.960
H 3.123 5.374 4.922
H 3.174 1.859 0.229
H 0.607 0.848 4.398
H 1.959 3.555 9.026
H 4.525 4.565 4.857
O 4.198 1.830 3.479
O 1.631 0.876 1.149
O 0.935 3.583 5.777
O 3.501 4.537 8.106
O 4.115 -3.168 9.246
O 1.548 0.856 4.672
O 1.018 8.581 0.009
O 3.584 4.557 4.583
O 3.891 -0.427 1.824
O 1.325 3.134 2.803
O 1.242 5.840 7.431
O 3.808 2.279 6.452
O 2.926 4.510 1.420
O 0.360 8.628 3.172
O 2.207 0.904 7.835
O 4.773 -3.215 6.083
O 3.223 -1.121 4.151
O 0.656 3.828 0.476
O 1.910 6.535 5.104
O 4.476 1.585 8.779
O 3.323 7.539 2.349
O 0.756 5.599 2.244
O 1.810 -2.126 6.906
O 4.376 -0.186 7.012